No. 1
! ScCrSe2 (GGA-PBEsol, optimized geometry); values from VASP
! Uncorrected formation energy ... -0.62 eV per atom
! Total DFT energy (no corrections) ... -6.755 eV/atom
! Density of states at the Fermi level ... 1.38 states/eV/f.u.
&SYSTEM
  ibrav = 0, nat = 4, ntyp = 3
/
ATOMIC_SPECIES
Sc 44.96 Sc.upf
Cr 52.00 Cr.upf
Se 78.96 Se.upf
CELL_PARAMETERS angstrom
-1.8563 1.8563 5.5881
1.8563 -1.8563 5.5881
1.8563 1.8563 -5.5881
ATOMIC_POSITIONS crystal
Sc 0.0000 0.0000 0.0000
Cr 0.2500 0.7500 0.5000
Se 0.5000 0.5000 0.0000
Se 0.7500 0.2500 0.5000

No. 2
! Sc2CrSe (GGA-PBEsol, optimized geometry); values from VASP
! Uncorrected formation energy ... -0.29 eV per atom
! Total DFT energy (no corrections) ... -7.115 eV/atom
! Density of states at the Fermi level ... 4.45 states/eV/f.u.
&SYSTEM
  ibrav = 0, nat = 4, ntyp = 3
/
ATOMIC_SPECIES
Sc 44.96 Sc.upf
Cr 52.00 Cr.upf
Se 78.96 Se.upf
CELL_PARAMETERS angstrom
-1.9255 1.9255 4.8298
1.9255 -1.9255 4.8298
1.9255 1.9255 -4.8298
ATOMIC_POSITIONS crystal
Sc 0.0000 0.0000 0.0000
Sc 0.7500 0.2500 0.5000
Cr 0.2500 0.7500 0.5000
Se 0.5000 0.5000 0.0000

No. 3
! ScCrSe (GGA-PBEsol, optimized geometry); values from VASP
! Uncorrected formation energy ... -0.29 eV per atom
! Total DFT energy (no corrections) ... -7.185 eV/atom
! Density of states at the Fermi level ... 2.08 states/eV/f.u.
&SYSTEM
  ibrav = 0, nat = 3, ntyp = 3
/
ATOMIC_SPECIES
Sc 44.96 Sc.upf
Cr 52.00 Cr.upf
Se 78.96 Se.upf
CELL_PARAMETERS angstrom
-1.6632 1.6632 4.6070
1.6632 -1.6632 4.6070
1.6632 1.6632 -4.6070
ATOMIC_POSITIONS crystal
Sc 0.0000 0.0000 0.0000
Cr 0.3239 0.3239 0.0000
Se 0.6718 0.6718 0.0000

No. 4
! ScCr2Se (GGA-PBEsol, optimized geometry); values from VASP
! Uncorrected formation energy ... 0.07 eV per atom
! Total DFT energy (no corrections) ... -7.663 eV/atom
! Density of states at the Fermi level ... 4.53 states/eV/f.u.
&SYSTEM
  ibrav = 0, nat = 4, ntyp = 3
/
ATOMIC_SPECIES
Sc 44.96 Sc.upf
Cr 52.00 Cr.upf
Se 78.96 Se.upf
CELL_PARAMETERS angstrom
-1.7382 1.8037 4.6087
1.7382 -1.8037 4.6087
1.7382 1.8037 -4.6087
ATOMIC_POSITIONS crystal
Sc 0.0000 0.0000 0.0000
Cr 0.2505 0.7505 0.5000
Cr 0.7495 0.2495 0.5000
Se 0.5000 0.5000 0.0000

No. 5
! ScTiCrSe2 (GGA-PBEsol, optimized geometry); values from VASP
! Uncorrected formation energy ... -0.03 eV per atom
! Total DFT energy (no corrections) ... -6.606 eV/atom
! Density of states at the Fermi level ... 3.93 states/eV/f.u.
&SYSTEM
  ibrav = 0, nat = 5, ntyp = 4
/
ATOMIC_SPECIES
Sc 44.96 Sc.upf
Ti 47.87 Ti.upf
Cr 52.00 Cr.upf
Se 78.96 Se.upf
CELL_PARAMETERS angstrom
4.7926 0.0000 0.0000
0.0000 4.7926 0.0000
0.0000 0.0000 4.1114
ATOMIC_POSITIONS crystal
Sc 0.0000 0.0000 0.0000
Ti 0.5000 0.5000 0.0000
Cr 0.5000 0.5000 0.5000
Se 0.0000 0.5000 0.5000
Se 0.5000 0.0000 0.5000

No. 6
! Sc3CrSi (GGA-PBEsol, optimized geometry); values from VASP
! Uncorrected formation energy ... 0.43 eV per atom
! Total DFT energy (no corrections) ... -6.727 eV/atom
! Density of states at the Fermi level ... 4.45 states/eV/f.u.
&SYSTEM
  ibrav = 0, nat = 5, ntyp = 3
/
ATOMIC_SPECIES
Sc 44.96 Sc.upf
Cr 52.00 Cr.upf
Si 28.09 Si.upf
CELL_PARAMETERS angstrom
4.6675 0.0000 0.0000
0.0000 4.6675 0.0000
0.0000 0.0000 4.6675
ATOMIC_POSITIONS crystal
Sc 0.0000 0.0000 0.5000
Sc 0.0000 0.5000 0.0000
Sc 0.5000 0.0000 0.0000
Cr 0.0000 0.0000 0.0000
Si 0.5000 0.5000 0.5000